No. 1
Entry from the Alexandria database: crystalline Sr2CaMgAu at its relaxed geometry (GGA-PBE).

Results
Its total magnetic moment is 0.00 μB/f.u. The density of states at the Fermi level is 4.6 states/eV/cell. The calculated volume comes out at 39.57 A^3/atom. For the formation energy from the elements, the calculation gives -0.25 eV per atom. The calculation puts the final energy at -2.2990 eV/atom.

Lattice parameters (Å, degrees): 6.1336 6.1336 5.2585 90.00 90.00 90.00
Closest atoms and distances in Å follow each position.
Atoms (fractional coordinates):
Sr1 0.0000 0.5000 0.0000  2 Au 3.07
Sr2 0.5000 0.0000 0.0000  2 Au 3.07
Ca1 0.0000 0.0000 0.5000  8 Sr 4.04, 4 Mg 4.34
Mg1 0.5000 0.5000 0.5000  2 Au 2.63
Au1 0.5000 0.5000 0.0000  2 Mg 2.63

No. 2
Entry from the Alexandria database: crystalline Sr2CaMgAu at its relaxed geometry (GGA-PBE).

Results
Its total magnetic moment is 0.00 μB/f.u. The density of states at the Fermi level is 2.5 states/eV/cell. The calculated volume comes out at 41.99 A^3/atom. For the formation energy from the elements, the calculation gives -0.25 eV per atom. The calculation puts the final energy at -2.2934 eV/atom.

Lattice parameters (Å, degrees): 6.0424 6.0424 5.7501 90.00 90.00 90.00
Closest atoms and distances in Å follow each position.
Atoms (fractional coordinates):
Sr1 0.0000 0.5000 0.0000  2 Au 3.02
Sr2 0.5000 0.0000 0.0000  2 Au 3.02
Ca1 0.0000 0.0000 0.5000  2 Au 2.88
Mg1 0.5000 0.5000 0.5000  8 Sr 4.17, 4 Ca 4.27
Au1 0.0000 0.0000 0.0000  2 Ca 2.88, 4 Sr 3.02

No. 3
Entry from the Alexandria database: crystalline SrCaMg2Au4 at its relaxed geometry (GGA-PBE).

Results
Its total magnetic moment is 0.00 μB/f.u. The density of states at the Fermi level is 2.4 states/eV/cell. The calculated volume comes out at 23.91 A^3/atom. For the formation energy from the elements, the calculation gives -0.68 eV per atom. The calculation puts the final energy at -3.1790 eV/atom.

Lattice parameters (Å, degrees): 10.3137 10.3137 10.3137 26.41 26.41 26.41
Closest atoms and distances in Å follow each position.
Atoms (fractional coordinates):
Sr1 0.0000 0.0000 0.0000  8 Au 3.29-3.34
Ca1 0.5000 0.5000 0.5000  8 Au 3.04-3.20
Mg1 0.2445 0.2445 0.2445  6 Au 2.80-2.81
Mg2 0.7555 0.7555 0.7555  6 Au 2.80-2.81
Au1 0.1103 0.1103 0.1103  3 Mg 2.80, 3 Au 3.04
Au2 0.3981 0.3981 0.3981  3 Mg 2.81, 3 Au 3.04, 1 Ca 3.04
Au3 0.6019 0.6019 0.6019  3 Mg 2.81, 3 Au 3.04, 1 Ca 3.04
Au4 0.8897 0.8897 0.8897  3 Mg 2.80, 3 Au 3.04

No. 4
Entry from the Alexandria database: crystalline SrCaMg2Au at its relaxed geometry (GGA-PBE).

Results
Its total magnetic moment is 0.00 μB/f.u. The density of states at the Fermi level is 4.2 states/eV/cell. The calculated volume comes out at 31.93 A^3/atom. For the formation energy from the elements, the calculation gives -0.26 eV per atom. The calculation puts the final energy at -2.2866 eV/atom.

Lattice parameters (Å, degrees): 5.3264 5.3264 5.6279 90.00 90.00 90.00
Closest atoms and distances in Å follow each position.
Atoms (fractional coordinates):
Sr1 0.0000 0.0000 0.0000  4 Ca 3.77, 8 Mg 3.87
Ca1 0.5000 0.5000 0.0000  2 Au 2.81
Mg1 0.0000 0.5000 0.5000  2 Au 2.66
Mg2 0.5000 0.0000 0.5000  2 Au 2.66
Au1 0.5000 0.5000 0.5000  4 Mg 2.66, 2 Ca 2.81

No. 5
Entry from the Alexandria database: crystalline SrCa2MgAu at its relaxed geometry (GGA-PBE).

Results
Its total magnetic moment is 0.00 μB/f.u. The density of states at the Fermi level is 2.8 states/eV/cell. The calculated volume comes out at 39.52 A^3/atom. For the formation energy from the elements, the calculation gives -0.24 eV per atom. The calculation puts the final energy at -2.3562 eV/atom.

Lattice parameters (Å, degrees): 5.7341 5.7341 6.0098 90.00 90.00 90.00
Closest atoms and distances in Å follow each position.
Atoms (fractional coordinates):
Sr1 0.0000 0.0000 0.0000  2 Au 3.00
Ca1 0.0000 0.5000 0.5000  2 Au 2.87
Ca2 0.5000 0.0000 0.5000  2 Au 2.87
Mg1 0.5000 0.5000 0.0000  4 Sr 4.05, 8 Ca 4.15
Au1 0.0000 0.0000 0.5000  4 Ca 2.87, 2 Sr 3.00

No. 6
Entry from the Alexandria database: crystalline SrCa2MgAu4 at its relaxed geometry (GGA-PBE).

Results
Its total magnetic moment is 0.00 μB/f.u. The density of states at the Fermi level is 4.6 states/eV/cell. The calculated volume comes out at 24.18 A^3/atom. For the formation energy from the elements, the calculation gives -0.70 eV per atom. The calculation puts the final energy at -3.2461 eV/atom.

Lattice parameters (Å, degrees): 9.1152 9.1152 9.1152 32.41 32.41 32.41
Closest atoms and distances in Å follow each position.
Atoms (fractional coordinates):
Sr1 0.0000 0.0000 0.0000  8 Au 3.28-3.29
Ca1 0.2423 0.2423 0.2423  7 Au 2.99-3.08
Ca2 0.7577 0.7577 0.7577  7 Au 2.99-3.08
Mg1 0.5000 0.5000 0.5000  8 Au 2.83-3.11
Au1 0.1267 0.1267 0.1267  4 Ca 2.99-3.08, 3 Mg 3.11, 1 Sr 3.28
Au2 0.3906 0.3906 0.3906  1 Mg 2.83, 3 Ca 3.06
Au3 0.6094 0.6094 0.6094  1 Mg 2.83, 3 Ca 3.06
Au4 0.8733 0.8733 0.8733  4 Ca 2.99-3.08, 3 Mg 3.11, 1 Sr 3.28

No. 7
Entry from the Alexandria database: crystalline CaTbMgAu at its relaxed geometry (GGA-PBE).

Results
Its total magnetic moment is 0.00 μB/f.u. The density of states at the Fermi level is 3.3 states/eV/cell. The calculated volume comes out at 25.44 A^3/atom. For the formation energy from the elements, the calculation gives -0.39 eV per atom. The calculation puts the final energy at -3.2663 eV/atom.

Lattice parameters (Å, degrees): 5.2404 5.2404 5.2404 60.00 60.00 60.00
Closest atoms and distances in Å follow each position.
Atoms (fractional coordinates):
Ca1 0.0000 0.0000 0.0000  4 Mg 3.21, 4 Au 3.21
Tb1 0.5000 0.5000 0.5000  4 Au 3.21, 4 Mg 3.21
Mg1 0.2500 0.2500 0.2500  4 Tb 3.21, 4 Ca 3.21
Au1 0.7500 0.7500 0.7500  4 Tb 3.21, 4 Ca 3.21

No. 8
Entry from the Alexandria database: crystalline Ca2MgTiAu at its relaxed geometry (GGA-PBE).

Results
Its total magnetic moment is 2.09 μB/f.u. The density of states at the Fermi level is 6.7 states/eV/cell. The calculated volume comes out at 32.58 A^3/atom. For the formation energy from the elements, the calculation gives 0.14 eV per atom. The calculation puts the final energy at -3.2151 eV/atom.

Lattice parameters (Å, degrees): 5.6691 5.6691 5.0684 90.00 90.00 90.00
Closest atoms and distances in Å follow each position.
Atoms (fractional coordinates):
Ca1 0.0000 0.5000 0.0000  2 Au 2.83
Ca2 0.5000 0.0000 0.0000  2 Au 2.83
Mg1 0.0000 0.0000 0.5000  8 Ca 3.80, 4 Ti 4.01
Ti1 0.5000 0.5000 0.5000  2 Au 2.53
Au1 0.5000 0.5000 0.0000  2 Ti 2.53, 4 Ca 2.83

No. 9
Entry from the Alexandria database: crystalline Ca2MgTlAu at its relaxed geometry (GGA-PBE).

Results
Its total magnetic moment is 0.00 μB/f.u. The density of states at the Fermi level is 3.5 states/eV/cell. The calculated volume comes out at 33.07 A^3/atom. For the formation energy from the elements, the calculation gives -0.31 eV per atom. The calculation puts the final energy at -2.5551 eV/atom.

Lattice parameters (Å, degrees): 5.7025 5.7025 5.0845 90.00 90.00 90.00
Closest atoms and distances in Å follow each position.
Atoms (fractional coordinates):
Ca1 0.0000 0.5000 0.0000  2 Au 2.85
Ca2 0.5000 0.0000 0.0000  2 Au 2.85
Mg1 0.0000 0.0000 0.5000  2 Au 2.54
Tl1 0.5000 0.5000 0.5000  8 Ca 3.82, 4 Mg 4.03
Au1 0.0000 0.0000 0.0000  2 Mg 2.54

No. 10
Entry from the Alexandria database: crystalline Ca2MgTlAu at its relaxed geometry (GGA-PBE).

Results
Its total magnetic moment is 0.00 μB/f.u. The density of states at the Fermi level is 0.4 states/eV/cell. The calculated volume comes out at 36.47 A^3/atom. For the formation energy from the elements, the calculation gives 0.07 eV per atom. The calculation puts the final energy at -2.1789 eV/atom.

Lattice parameters (Å, degrees): 5.9425 5.9425 5.1637 90.00 90.00 90.00
Closest atoms and distances in Å follow each position.
Atoms (fractional coordinates):
Ca1 0.0000 0.5000 0.0000  2 Tl 2.97
Ca2 0.5000 0.0000 0.0000  2 Tl 2.97
Mg1 0.0000 0.0000 0.5000  2 Tl 2.58
Tl1 0.0000 0.0000 0.0000  2 Mg 2.58
Au1 0.5000 0.5000 0.5000  8 Ca 3.94, 4 Mg 4.20

The highest total magnetic moment belongs to which entry? Ca2MgTiAu